Computed, not measured: a geometry-optimized Pr2Al4InCu3 structure at the GGA-PBE level of DFT.

Cell lengths 4.3129, 4.3129, 10.5320 Å; angles 90.00, 90.00, 90.00 degrees
Atoms (fractional coordinates):
Pr (0.0000, 0.5000, 0.2395)
Pr (0.5000, 0.0000, 0.7605)
Al (0.0000, 0.0000, 0.0000)
Al (0.0000, 0.5000, 0.6525)
Al (0.5000, 0.0000, 0.3475)
Al (0.5000, 0.5000, 0.0000)
In (0.0000, 0.0000, 0.5000)
Cu (0.0000, 0.5000, 0.8807)
Cu (0.5000, 0.0000, 0.1193)
Cu (0.5000, 0.5000, 0.5000)

* energy of formation: -3.97 eV/f.u.
* volume: 19.59 Å³/atom
* space group: P-4m2 (115)
* density of states at the Fermi level: 4.53 states/eV per cell


Computed, not measured: a geometry-optimized LiLaEuPb structure at the GGA-PBE level of DFT.

Cell lengths 5.5870, 5.5870, 5.5870 Å; angles 60.00, 60.00, 60.00 degrees
Atoms (fractional coordinates):
Li (0.0000, 0.0000, 0.0000)
La (0.7500, 0.7500, 0.7500)
Eu (0.2500, 0.2500, 0.2500)
Pb (0.5000, 0.5000, 0.5000)

* energy of formation: -1.39 eV/f.u.
* volume: 30.83 Å³/atom
* space group: F-43m (216)
* density of states at the Fermi level: 11.89 states/eV per cell


Computed, not measured: a geometry-optimized Pm5CuRu2 structure at the GGA-PBE level of DFT.

Cell lengths 8.6817, 8.6817, 8.6817 Å; angles 126.04, 126.04, 79.81 degrees
Atoms (fractional coordinates):
Pm (0.0000, 0.0000, 0.0000)
Pm (0.0227, 0.5227, 0.8195)
Pm (0.2032, 0.0227, 0.5000)
Pm (0.2968, 0.7968, 0.8195)
Pm (0.4773, 0.2968, 0.5000)
Pm (0.5000, 0.5000, 0.0000)
Pm (0.5227, 0.7032, 0.5000)
Pm (0.7032, 0.2032, 0.1805)
Pm (0.7968, 0.9773, 0.5000)
Pm (0.9773, 0.4773, 0.1805)
Cu (0.2500, 0.2500, 0.0000)
Cu (0.7500, 0.7500, 0.0000)
Ru (0.1411, 0.3589, 0.5000)
Ru (0.3589, 0.8589, 0.2177)
Ru (0.6411, 0.1411, 0.7823)
Ru (0.8589, 0.6411, 0.5000)

* energy of formation: -1.65 eV/f.u.
* volume: 25.82 Å³/atom
* space group: I4/mcm (140)
* density of states at the Fermi level: 15.51 states/eV per cell


Computed, not measured: a geometry-optimized TbLu2Hg structure at the GGA-PBE level of DFT.

Cell lengths 3.5381, 3.5381, 8.8489 Å; angles 90.00, 90.00, 90.00 degrees
Atoms (fractional coordinates):
Tb (0.0000, 0.0000, 0.0000)
Lu (0.5000, 0.5000, 0.2790)
Lu (0.5000, 0.5000, 0.7210)
Hg (0.0000, 0.0000, 0.5000)

* energy of formation: -0.93 eV/f.u.
* volume: 27.69 Å³/atom
* energy relative to the lowest polymorph listed for this composition: 0.0 kJ/mol of atoms
* space group: P4/mmm (123)
* density of states at the Fermi level: 3.94 states/eV per cell


Computed, not measured: a geometry-optimized NaPrGdMg structure at the GGA-PBE level of DFT.

Cell lengths 5.5976, 5.5976, 5.5976 Å; angles 60.00, 60.00, 60.00 degrees
Atoms (fractional coordinates):
Na (0.0000, 0.0000, 0.0000)
Pr (0.2500, 0.2500, 0.2500)
Gd (0.7500, 0.7500, 0.7500)
Mg (0.5000, 0.5000, 0.5000)

* energy of formation: 0.51 eV/f.u.
* volume: 31.01 Å³/atom
* space group: F-43m (216)
* density of states at the Fermi level: 5.18 states/eV per cell


| no. | total magnetic moment (μB/f.u.) |
| --- | --- |
| 1 | 0.00 |
| 2 | 7.54 |
| 3 | 0.00 |
| 4 | 0.00 |
| 5 | 8.18 |